Here is Sc3HgOs after structural relaxation from Alexandria via LeMat-Bulk. Energies are from PBE.

Summary:
Excess energy over the best structure of this formula in the dataset in meV/atom: 0
Final energy in eV/atom: -6.169
D(E_F) in states/eV per atom: 0.6976
Symmetry: Pm-3m
Formation energy from the elements in eV/atom: -0.064

```
Sc3HgOs
1.0
5.0314 0.0000 0.0000
0.0000 5.0314 0.0000
0.0000 0.0000 5.0314
Sc Os Hg
3 1 1
Direct
0.0000 0.5000 0.0000
0.0000 0.0000 0.5000
0.5000 0.0000 0.0000
0.0000 0.0000 0.0000
0.5000 0.5000 0.5000
```

***

Here is Sc2HgOs after structural relaxation from Alexandria via LeMat-Bulk. Energies are from PBE.

Summary:
Final energy in eV/atom: -6.012
D(E_F) in states/eV per atom: 0.8071
Symmetry: R-3m
Formation energy from the elements in eV/atom: 0.037

```
Sc2HgOs
1.0
-3.3138 -0.5345 9.6064
-0.2401 0.2732 10.1694
-2.4229 2.5670 9.5441
Sc Os Hg
2 1 1
Direct
0.8967 0.8967 0.8967
0.1033 0.1033 0.1033
0.5000 0.5000 0.5000
0.0000 0.0000 0.0000
```

***

Here is ScHgOs2 after structural relaxation from Alexandria via LeMat-Bulk. Energies are from PBE.

Summary:
Final energy in eV/atom: -6.849
D(E_F) in states/eV per atom: 0.9976
Symmetry: Cmmm
Formation energy from the elements in eV/atom: 0.425

```
ScHgOs2
1.0
-0.9685 -1.2288 -2.3454
-0.8445 -1.2703 2.3711
-7.5941 5.5117 0.2481
Hg Os Sc
1 2 1
Direct
0.5000 0.5000 0.7500
0.0000 0.0000 0.0180
0.0000 0.0000 0.4820
0.5000 0.5000 0.2500
```

***

Here is Sc3HgOs after structural relaxation from Alexandria via LeMat-Bulk. Energies are from PBE.

Summary:
Excess energy over the best structure of this formula in the dataset in meV/atom: 1167
Final energy in eV/atom: -5.001
D(E_F) in states/eV per atom: 1.2962
Symmetry: Pm-3m
Formation energy from the elements in eV/atom: 1.104

```
Sc3HgOs
1.0
5.0863 0.0000 0.0000
0.0000 5.0863 0.0000
0.0000 0.0000 5.0863
Sc Os Hg
3 1 1
Direct
0.0000 0.5000 0.0000
0.0000 0.0000 0.5000
0.5000 0.0000 0.0000
0.5000 0.5000 0.5000
0.0000 0.0000 0.0000
```

***

Here is Sc2HgOs after structural relaxation from Alexandria via LeMat-Bulk. Energies are from PBE.

Summary:
Final energy in eV/atom: -6.141
D(E_F) in states/eV per atom: 0.8043
Symmetry: Pmm2
Formation energy from the elements in eV/atom: -0.092

```
Sc2HgOs
1.0
-2.4856 -1.5657 -1.4938
2.7304 -2.1325 -2.3080
0.1821 -4.1761 4.0740
Hg Os Sc
1 1 2
Direct
0.0000 0.0000 0.4759
0.5000 0.5000 0.8147
0.0000 0.0000 0.9473
0.5000 0.5000 0.2621
```

***

Here is ScHgOs2 after structural relaxation from Alexandria via LeMat-Bulk. Energies are from PBE.

Summary:
Final energy in eV/atom: -6.913
D(E_F) in states/eV per atom: 0.8641
Symmetry: P2/m
Formation energy from the elements in eV/atom: 0.361

```
ScHgOs2
1.0
-1.1738 0.4419 4.4959
0.7709 -2.7192 0.4685
4.8544 1.4632 1.1236
Hg Os Sc
1 2 1
Direct
0.5000 0.7500 0.7500
0.0000 0.9700 0.0342
0.0000 0.5300 0.4658
0.5000 0.2500 0.2500
```